A plane-wave DFT calculation with PBE was carried out for a relaxed PmSi2 crystal.

Calculated volume ... 61 Å³/f.u.
ΔE to the lowest computed polymorph ... 0 meV per atom
Calculated density ... 5.5 Mg/m³
M_tot ... 0.000 μB per formula unit
E_form (uncorrected) ... -571 meV/atom

Lattice parameters (Å, degrees): 4.0952 4.0952 4.1755 90.00 90.00 120.00
Closest atoms and distances in Å follow each position.
Atoms (fractional coordinates):
Pm (0.0000, 0.0000, 0.0000)  12 Si 3.15
Si (0.3333, 0.6667, 0.5000)  3 Si 2.36
Si (0.6667, 0.3333, 0.5000)  3 Si 2.36